4
Lattice="3.2482 0.0000 0.0000 0.0000 4.8550 0.0000 0.0000 0.0000 4.8707" Properties=species:S:1:pos:R:3 comment="GGA-PBE TeRuSe2, relaxed" volume_a3_per_atom=19.20 raw_formation_energy_kj_per_mol_atoms=59.11 final_energy_ev_per_cell=-16.94 pbc="T T T"
Te 0.0000 0.0000 0.0000
Ru 1.6241 2.4275 0.0000
Se 0.0000 2.4275 2.4353
Se 1.6241 0.0000 2.4353